Entry 1:
PuAg2HgO8: optimized geometry, PBE-GGA.

a = 6.1132 Å, b = 6.1132 Å, c = 6.1132 Å
α = 113.16°, β = 113.16°, γ = 102.31°
Fractional positions:
Pu  0.0000  0.0000  0.0000
Ag  0.7500  0.2500  0.5000
Ag  0.5000  0.5000  0.0000
Hg  0.2500  0.7500  0.5000
O  0.3129  0.0325  0.2803
O  0.2790  0.4537  0.1747
O  0.2790  0.1043  0.8253
O  0.7522  0.0325  0.7197
O  0.8957  0.7210  0.1747
O  0.9675  0.2478  0.2803
O  0.9675  0.6871  0.7197
O  0.5463  0.7210  0.8253

Values from the calculation:
* DFT total energy: -5.575 eV per atom

=====

Entry 2:
PuAg2HgO6: optimized geometry, PBE-GGA.

a = 7.1753 Å, b = 7.3887 Å, c = 7.3887 Å
α = 69.63°, β = 64.70°, γ = 64.70°
Fractional positions:
Pu  0.2500  0.2499  0.7501
Pu  0.7500  0.7501  0.2499
Ag  0.2499  0.7501  0.7498
Ag  0.2501  0.2502  0.2499
Ag  0.7501  0.2499  0.2502
Ag  0.7499  0.7498  0.7501
Hg  0.2500  0.7500  0.2500
Hg  0.7500  0.2500  0.7500
O  0.0882  0.1251  0.6251
O  0.4118  0.3749  0.8749
O  0.9118  0.8749  0.3749
O  0.5882  0.6251  0.1251
O  0.5558  0.0216  0.1932
O  0.9442  0.8068  0.9784
O  0.4442  0.9784  0.8068
O  0.0558  0.1932  0.0216
O  0.0557  0.5215  0.6933
O  0.4443  0.3067  0.4785
O  0.9443  0.4785  0.3067
O  0.5557  0.6933  0.5215

Values from the calculation:
* DFT total energy: -6.054 eV per atom

=====

Entry 3:
RbAgHgO2: optimized geometry, PBE-GGA.

a = 5.0338 Å, b = 6.7562 Å, c = 7.3397 Å
α = 117.40°, β = 90.00°, γ = 90.00°
Fractional positions:
Rb  0.2626  0.7500  0.5000
Rb  0.7374  0.2500  0.5000
Ag  0.0000  0.0000  0.0000
Ag  0.0000  0.5000  0.0000
Hg  0.5000  0.7500  0.0000
Hg  0.5000  0.2500  0.0000
O  0.6847  0.8951  0.7901
O  0.6847  0.6049  0.2099
O  0.3153  0.3951  0.7901
O  0.3153  0.1049  0.2099

Values from the calculation:
* DFT total energy: -3.318 eV per atom

=====

Entry 4:
Rb8AgHg2O: optimized geometry, PBE-GGA.

a = 8.5321 Å, b = 8.1593 Å, c = 9.6136 Å
α = 89.54°, β = 90.33°, γ = 86.10°
Fractional positions:
Rb  0.1343  0.7828  0.2056
Rb  0.7304  0.8293  0.9976
Rb  0.8623  0.2168  0.2017
Rb  0.8657  0.2172  0.7944
Rb  0.2696  0.1707  0.0024
Rb  0.1377  0.7832  0.7983
Rb  0.6493  0.7274  0.4992
Rb  0.3507  0.2726  0.5008
Ag  0.0000  0.0000  0.5000
Hg  0.5019  0.4977  0.8438
Hg  0.4981  0.5023  0.1562
O  0.0000  0.0000  0.0000

Values from the calculation:
* DFT total energy: -1.631 eV per atom

=====

Entry 5:
Rb6Ag2HgO: optimized geometry, PBE-GGA.

a = 8.8218 Å, b = 10.9230 Å, c = 10.3104 Å
α = 90.00°, β = 61.61°, γ = 90.00°
Fractional positions:
Rb  0.2142  0.6693  0.0579
Rb  0.7142  0.8307  0.5579
Rb  0.7858  0.3307  0.9421
Rb  0.2858  0.1693  0.4421
Rb  0.2936  0.8264  0.4381
Rb  0.7936  0.6736  0.9381
Rb  0.7064  0.1736  0.5619
Rb  0.2064  0.3264  0.0619
Rb  0.7647  0.5034  0.2875
Rb  0.2647  0.9966  0.7875
Rb  0.2353  0.4966  0.7125
Rb  0.7353  0.0034  0.2125
Ag  0.1356  0.9966  0.2138
Ag  0.6356  0.5034  0.7138
Ag  0.8644  0.0034  0.7862
Ag  0.3644  0.4966  0.2862
Hg  0.5000  0.0000  0.0000
Hg  0.0000  0.5000  0.5000
O  0.5000  0.0000  0.5000
O  0.0000  0.5000  0.0000

Values from the calculation:
* DFT total energy: -1.970 eV per atom

=====

Entry 6:
ReAgHgO2: optimized geometry, PBE-GGA.

a = 3.8138 Å, b = 5.9976 Å, c = 3.8138 Å
α = 90.00°, β = 90.00°, γ = 90.00°
Fractional positions:
O  0.0000  0.0000  0.5000
O  0.5000  0.0000  0.0000
Re  0.0000  0.0000  0.0000
Hg  0.0000  0.5000  0.0000
Ag  0.5000  0.5000  0.5000

Values from the calculation:
* DFT total energy: -5.634 eV per atom

=====

Entry 7:
Ag2HgSO4: optimized geometry, PBE-GGA.

a = 6.7937 Å, b = 6.7936 Å, c = 7.0922 Å
α = 108.35°, β = 108.36°, γ = 112.89°
Fractional positions:
Ag  0.5000  0.0000  0.0000
Ag  0.5000  0.0000  0.5000
Ag  0.0000  0.0000  0.5000
Ag  0.5000  0.5000  0.0000
Hg  0.0000  0.5000  0.0000
Hg  0.0000  0.5000  0.5000
S  0.5000  0.5000  0.5000
S  0.0000  0.0000  0.0000
O  0.1517  0.8302  0.9865
O  0.6698  0.3483  0.5135
O  0.3302  0.6517  0.4864
O  0.8483  0.1698  0.0135
O  0.8690  0.8677  0.1257
O  0.6322  0.6310  0.3743
O  0.3678  0.3691  0.6257
O  0.1310  0.1323  0.8743

Values from the calculation:
* DFT total energy: -3.903 eV per atom

=====

Entry 8:
AgHgS2O6: optimized geometry, PBE-GGA.

a = 6.7626 Å, b = 6.7626 Å, c = 9.6519 Å
α = 114.34°, β = 114.34°, γ = 70.68°
Fractional positions:
Ag  0.7455  0.2545  0.2500
Ag  0.2545  0.7455  0.7500
Hg  0.2478  0.7522  0.2500
Hg  0.7522  0.2478  0.7500
S  0.2289  0.1630  0.6034
S  0.8370  0.7711  0.8966
S  0.7711  0.8370  0.3966
S  0.1630  0.2289  0.1034
O  0.9703  0.3705  0.1592
O  0.6295  0.0297  0.3408
O  0.0297  0.6295  0.8408
O  0.3705  0.9703  0.6592
O  0.0830  0.1300  0.9183
O  0.8700  0.9170  0.5817
O  0.9170  0.8700  0.0817
O  0.1300  0.0830  0.4183
O  0.3295  0.3760  0.1534
O  0.6240  0.6705  0.3466
O  0.6705  0.6240  0.8466
O  0.3760  0.3295  0.6534

Values from the calculation:
* DFT total energy: -4.872 eV per atom

=====

Entry 9:
AgHgS2O8: optimized geometry, PBE-GGA.

a = 5.0285 Å, b = 5.0285 Å, c = 7.4491 Å
α = 70.27°, β = 70.27°, γ = 60.00°
Fractional positions:
Ag  0.0000  0.0000  0.0000
Hg  0.5000  0.5000  0.5000
S  0.2416  0.2416  0.2752
S  0.7584  0.7584  0.7248
O  0.1698  0.1698  0.4906
O  0.5259  0.3059  0.2019
O  0.8302  0.8302  0.5094
O  0.9662  0.5259  0.2019
O  0.0338  0.4741  0.7981
O  0.3059  0.9662  0.2019
O  0.6941  0.0338  0.7981
O  0.4741  0.6941  0.7981

Values from the calculation:
* DFT total energy: -5.102 eV per atom

=====

Entry 10:
AgHg3SbO6: optimized geometry, PBE-GGA.

a = 7.1314 Å, b = 7.1314 Å, c = 7.1314 Å
α = 87.87°, β = 87.87°, γ = 87.87°
Fractional positions:
Ag  0.2500  0.2500  0.2500
Ag  0.7500  0.7500  0.7500
Hg  0.4027  0.7500  0.0973
Hg  0.0973  0.4027  0.7500
Hg  0.5973  0.2500  0.9027
Hg  0.9027  0.5973  0.2500
Hg  0.7500  0.0973  0.4027
Hg  0.2500  0.9027  0.5973
Sb  0.0000  0.0000  0.0000
Sb  0.5000  0.5000  0.5000
O  0.5009  0.7851  0.4964
O  0.4964  0.5009  0.7851
O  0.7851  0.4964  0.5009
O  0.9991  0.0036  0.7149
O  0.7149  0.9991  0.0036
O  0.0036  0.7149  0.9991
O  0.4991  0.2149  0.5036
O  0.5036  0.4991  0.2149
O  0.2149  0.5036  0.4991
O  0.0009  0.9964  0.2851
O  0.9964  0.2851  0.0009
O  0.2851  0.0009  0.9964

Values from the calculation:
* DFT total energy: -4.044 eV per atom

=====

Entry 11:
AgHgSeO4: optimized geometry, PBE-GGA.

a = 6.1160 Å, b = 6.8558 Å, c = 6.8558 Å
α = 62.54°, β = 63.51°, γ = 63.51°
Fractional positions:
Ag  0.0000  0.0000  0.0000
Ag  0.0000  0.5000  0.5000
Hg  0.5000  0.0000  0.5000
Hg  0.0000  0.0000  0.5000
Se  0.6160  0.6340  0.1340
Se  0.3840  0.3660  0.8660
O  0.7108  0.7350  0.8435
O  0.2892  0.6565  0.7650
O  0.7108  0.3435  0.2350
O  0.2892  0.2650  0.1565
O  0.2888  0.7347  0.2347
O  0.7418  0.7347  0.2347
O  0.2582  0.2653  0.7653
O  0.7112  0.2653  0.7653

Values from the calculation:
* DFT total energy: -4.141 eV per atom

=====

Entry 12:
AgHgSe2O8: optimized geometry, PBE-GGA.

a = 5.1752 Å, b = 5.1752 Å, c = 8.0656 Å
α = 71.29°, β = 71.29°, γ = 60.00°
Fractional positions:
Ag  0.5000  0.5000  0.5000
Hg  0.0000  0.0000  0.0000
Se  0.2461  0.2461  0.2617
Se  0.7539  0.7539  0.7383
O  0.1720  0.1720  0.4840
O  0.5655  0.2967  0.1896
O  0.8280  0.8280  0.5160
O  0.9482  0.5655  0.1896
O  0.0518  0.4345  0.8104
O  0.2967  0.9482  0.1896
O  0.7033  0.0518  0.8104
O  0.4345  0.7033  0.8104

Values from the calculation:
* DFT total energy: -4.480 eV per atom